(1)
! TbMn3Si2 PBE relaxed; values from VASP
! Fermi-level density of states   4.6 states/eV/f.u.
! Symmetry   C2/m (12)
! Electronic total energy   -7.62 eV per atom
&SYSTEM
  ibrav = 0, nat = 12, ntyp = 3
/
ATOMIC_SPECIES
Si 28.09 Si.upf
Tb 158.93 Tb.upf
Mn 54.94 Mn.upf
ATOMIC_POSITIONS crystal
Si 0.807 0.614 0.302
Tb 0.854 0.708 0.937
Tb 0.146 0.292 0.063
Mn 0.306 0.613 0.529
Mn 0.959 0.919 0.612
Mn 0.416 0.833 0.368
Mn 0.694 0.387 0.471
Si 0.193 0.386 0.698
Mn 0.584 0.167 0.632
Mn 0.041 0.081 0.388
Si 0.478 0.956 0.812
Si 0.522 0.044 0.188
CELL_PARAMETERS angstrom
3.901 0.000 0.000
-1.950 6.580 -2.786
0.000 -0.312 7.133

(2)
! Tb2Mn3Si5 PBE relaxed; values from VASP
! Fermi-level density of states   6.3 states/eV/f.u.
! Symmetry   P4/mnc (128)
! Electronic total energy   -7.01 eV per atom
&SYSTEM
  ibrav = 0, nat = 40, ntyp = 3
/
ATOMIC_SPECIES
Mn 54.94 Mn.upf
Tb 158.93 Tb.upf
Si 28.09 Si.upf
ATOMIC_POSITIONS crystal
Mn 0.500 0.000 0.750
Tb 0.425 0.737 0.500
Si 0.977 0.685 0.500
Mn 0.000 0.500 0.250
Si 0.185 0.477 0.000
Mn 0.855 0.879 0.500
Tb 0.763 0.075 0.000
Si 0.000 0.000 0.741
Si 0.500 0.500 0.241
Si 0.315 0.977 0.500
Tb 0.263 0.425 0.500
Tb 0.737 0.575 0.500
Mn 0.500 0.000 0.250
Si 0.675 0.825 0.750
Mn 0.621 0.645 0.000
Mn 0.121 0.855 0.500
Si 0.685 0.023 0.500
Si 0.023 0.315 0.500
Si 0.825 0.325 0.250
Si 0.175 0.675 0.750
Mn 0.145 0.121 0.500
Si 0.523 0.185 0.000
Mn 0.379 0.355 0.000
Si 0.325 0.175 0.250
Si 0.477 0.815 0.000
Si 0.325 0.175 0.750
Mn 0.879 0.145 0.500
Tb 0.925 0.763 0.000
Tb 0.575 0.263 0.500
Si 0.175 0.675 0.250
Tb 0.075 0.237 0.000
Si 0.000 0.000 0.259
Si 0.825 0.325 0.750
Si 0.675 0.825 0.250
Tb 0.237 0.925 0.000
Mn 0.000 0.500 0.750
Mn 0.645 0.379 0.000
Si 0.500 0.500 0.759
Mn 0.355 0.621 0.000
Si 0.815 0.523 0.000
CELL_PARAMETERS angstrom
-6.707 7.740 -2.673
-8.060 -5.632 3.918
0.742 2.323 4.865

(3)
! TbMn10Si2 PBE relaxed; values from VASP
! Fermi-level density of states   12.8 states/eV/f.u.
! Symmetry   Cmcm (63)
! Electronic total energy   -8.44 eV per atom
&SYSTEM
  ibrav = 0, nat = 26, ntyp = 3
/
ATOMIC_SPECIES
Si 28.09 Si.upf
Tb 158.93 Tb.upf
Mn 54.94 Mn.upf
ATOMIC_POSITIONS crystal
Si 0.500 0.000 0.500
Tb 0.129 0.871 0.250
Mn 0.396 0.604 0.065
Si 0.000 0.500 0.500
Si 0.000 0.500 0.000
Mn 0.604 0.396 0.565
Mn 0.476 0.258 0.250
Mn 0.524 0.742 0.750
Mn 0.604 0.396 0.935
Mn 0.215 0.215 0.500
Mn 0.258 0.476 0.750
Mn 0.176 0.824 0.891
Mn 0.742 0.524 0.250
Mn 0.874 0.630 0.750
Mn 0.785 0.785 0.000
Mn 0.785 0.785 0.500
Mn 0.824 0.176 0.109
Si 0.500 0.000 0.000
Mn 0.370 0.126 0.750
Mn 0.215 0.215 0.000
Mn 0.630 0.874 0.250
Tb 0.871 0.129 0.750
Mn 0.396 0.604 0.435
Mn 0.176 0.824 0.609
Mn 0.126 0.370 0.250
Mn 0.824 0.176 0.391
CELL_PARAMETERS angstrom
6.326 -0.017 0.000
-0.954 6.253 0.000
0.000 0.000 8.107

(4)
! TbMnSi2Tc PBE relaxed; values from VASP
! Fermi-level density of states   3.8 states/eV/f.u.
! Symmetry   I-4m2 (119)
! Electronic total energy   -7.65 eV per atom
&SYSTEM
  ibrav = 0, nat = 5, ntyp = 4
/
ATOMIC_SPECIES
Si 28.09 Si.upf
Tb 158.93 Tb.upf
Mn 54.94 Mn.upf
Tc 98.00 Tc.upf
ATOMIC_POSITIONS crystal
Si 0.619 0.619 0.237
Tb 0.000 0.000 0.000
Si 0.381 0.381 0.763
Mn 0.250 0.750 0.500
Tc 0.750 0.250 0.500
CELL_PARAMETERS angstrom
-0.459 -3.647 1.586
3.962 -0.282 0.497
-2.195 4.080 3.696